Entry 1
Density functional theory data (PBEsol) for Sr3P after structural relaxation.

```
Sr3P
1.0
3.035 -6.819 0.000
3.035 6.819 0.000
0.000 0.000 4.294
Sr P
3 1
direct
0.000 0.000 0.000
0.351 0.649 0.500
0.649 0.351 0.500
0.500 0.500 0.000
```

Entry 2
Density functional theory data (PBEsol) for Sr3P after structural relaxation.

```
Sr3P
1.0
7.822 0.000 0.000
0.000 10.960 0.000
0.000 0.000 7.052
Sr P
12 4
direct
0.055 0.250 0.176
0.171 0.078 0.686
0.171 0.422 0.686
0.329 0.578 0.186
0.329 0.922 0.186
0.445 0.750 0.676
0.555 0.250 0.324
0.671 0.078 0.814
0.671 0.422 0.814
0.829 0.578 0.314
0.829 0.922 0.314
0.945 0.750 0.824
0.118 0.750 0.432
0.382 0.250 0.932
0.618 0.750 0.068
0.882 0.250 0.568
```

Here is how they stack up, most stable first: entry 2, entry 1.